(1)
Crystalline ReSbIr at its relaxed geometry. Source: the Alexandria database, functional PBE-GGA.

Lattice parameters (Å, degrees): 3.0111 3.0111 6.5088 90.00 90.00 120.00
Atoms (fractional coordinates):
Re 0.0000 0.0000 0.0000
Sb 0.6667 0.3333 0.3403
Ir 0.3333 0.6667 0.6864

Properties
SG ... P3m1 (156)
Energy ... -8.01 eV per atom
Offset from the most stable computed form ... 0.16 eV per formula unit
ΔE_f (raw) ... 0.465 eV per atom

(2)
Crystalline SrScMnMo2 at its relaxed geometry. Source: the Alexandria database, functional PBE-GGA.

Lattice parameters (Å, degrees): 4.8941 4.8941 4.8152 90.00 90.00 90.00
Atoms (fractional coordinates):
Sr 0.0000 0.0000 0.0000
Sc 0.5000 0.5000 0.5000
Mn 0.0000 0.0000 0.5000
Mo 0.0000 0.5000 0.0000
Mo 0.5000 0.0000 0.0000

Properties
SG ... P4/mmm (123)
Energy ... -5.46 eV per atom
DFT formation energy ... 2313 meV per atom

(3)
Crystalline Tb2Ga4Ni3Au at its relaxed geometry. Source: the Alexandria database, functional PBE-GGA.

Lattice parameters (Å, degrees): 4.0594 4.0594 10.4903 90.00 90.00 90.00
Atoms (fractional coordinates):
Tb 0.0000 0.5000 0.2346
Tb 0.5000 0.0000 0.7654
Ga 0.0000 0.0000 0.0000
Ga 0.0000 0.5000 0.6465
Ga 0.5000 0.0000 0.3535
Ga 0.5000 0.5000 0.0000
Ni 0.0000 0.5000 0.8703
Ni 0.5000 0.0000 0.1297
Ni 0.5000 0.5000 0.5000
Au 0.0000 0.0000 0.5000

Properties
SG ... P-4m2 (115)
Energy ... -4.78 eV per atom
DFT formation energy ... -584 meV per atom

(4)
Crystalline KMoP2 at its relaxed geometry. Source: the Alexandria database, functional PBE-GGA.

Lattice parameters (Å, degrees): 4.6230 4.6230 4.6230 60.00 60.00 60.00
Atoms (fractional coordinates):
K 0.0000 0.0000 0.0000
Mo 0.2500 0.2500 0.2500
P 0.5000 0.5000 0.5000
P 0.7500 0.7500 0.7500

Properties
SG ... F-43m (216)
Energy ... -4.56 eV per atom
Offset from the most stable computed form ... 5.73 eV per formula unit
DFT formation energy ... 1131 meV per atom

(5)
Crystalline HoPb5 at its relaxed geometry. Source: the Alexandria database, functional PBE-GGA.

Lattice parameters (Å, degrees): 8.3046 8.3046 4.6914 90.00 90.00 146.23
Atoms (fractional coordinates):
Ho 0.0000 0.0000 0.0000
Pb 0.1669 0.8331 0.5000
Pb 0.3425 0.6575 0.0000
Pb 0.5000 0.5000 0.5000
Pb 0.6575 0.3425 0.0000
Pb 0.8331 0.1669 0.5000

Properties
SG ... Cmmm (65)
Energy ... -3.99 eV per atom
Offset from the most stable computed form ... 0.00 eV per formula unit
DFT formation energy ... -135 meV per atom

(6)
Crystalline In2W at its relaxed geometry. Source: the Alexandria database, functional PBE-GGA.

Lattice parameters (Å, degrees): 4.6869 4.6869 4.6869 60.00 60.00 60.00
Atoms (fractional coordinates):
In 0.2500 0.2500 0.2500
In 0.7500 0.7500 0.7500
W 0.0000 0.0000 0.0000

Properties
SG ... Fm-3m (225)
Energy ... -5.18 eV per atom
DFT formation energy ... 966 meV per atom

(7)
Crystalline Be2TeIr at its relaxed geometry. Source: the Alexandria database, functional PBE-GGA.

Lattice parameters (Å, degrees): 6.9900 6.9900 6.9900 31.26 31.26 31.26
Atoms (fractional coordinates):
Be 0.0000 0.0000 0.0000
Be 0.3281 0.3281 0.3281
Te 0.8704 0.8704 0.8704
Ir 0.6246 0.6246 0.6246

Properties
SG ... R3m (160)
Energy ... -4.93 eV per atom
ΔE_f (raw) ... -0.071 eV per atom

(8)
Crystalline Rb4HfNp3S8 at its relaxed geometry. Source: the Alexandria database, functional PBE-GGA.

Lattice parameters (Å, degrees): 8.9938 8.9938 8.9938 53.18 53.18 53.18
Atoms (fractional coordinates):
Rb 0.0000 0.0000 0.0000
Rb 0.0000 0.5000 0.5000
Rb 0.5000 0.0000 0.5000
Rb 0.5000 0.5000 0.0000
Hf 0.5000 0.5000 0.5000
Np 0.0000 0.0000 0.5000
Np 0.0000 0.5000 0.0000
Np 0.5000 0.0000 0.0000
S 0.2314 0.2314 0.2314
S 0.2484 0.7201 0.7201
S 0.2799 0.2799 0.7516
S 0.2799 0.7516 0.2799
S 0.7201 0.2484 0.7201
S 0.7201 0.7201 0.2484
S 0.7516 0.2799 0.2799
S 0.7686 0.7686 0.7686

Properties
SG ... R-3m (166)
Energy ... -6.73 eV per atom
ΔE_f (raw) ... -1.375 eV per atom

(9)
Crystalline LiTiTl3 at its relaxed geometry. Source: the Alexandria database, functional PBE-GGA.

Lattice parameters (Å, degrees): 5.4406 5.4406 5.4406 90.00 90.00 90.00
Atoms (fractional coordinates):
Li 0.0000 0.0000 0.0000
Ti 0.5000 0.5000 0.5000
Tl 0.0000 0.5000 0.5000
Tl 0.5000 0.0000 0.5000
Tl 0.5000 0.5000 0.0000

Properties
SG ... Pm-3m (221)
Energy ... -3.03 eV per atom
Offset from the most stable computed form ... 0.00 eV per formula unit
DFT formation energy ... 347 meV per atom

(10)
Crystalline BiPtOF2 at its relaxed geometry. Source: the Alexandria database, functional PBE-GGA.

Lattice parameters (Å, degrees): 4.5057 4.5057 4.4912 90.00 90.00 90.00
Atoms (fractional coordinates):
Bi 0.0000 0.0000 0.0000
Pt 0.5000 0.5000 0.5000
O 0.0000 0.0000 0.5000
F 0.0000 0.5000 0.0000
F 0.5000 0.0000 0.0000

Properties
SG ... P4/mmm (123)
Energy ... -4.26 eV per atom
Offset from the most stable computed form ... 0.00 eV per formula unit
ΔE_f (raw) ... -0.537 eV per atom

(11)
Crystalline Cs3In2HgBr9 at its relaxed geometry. Source: the Alexandria database, functional PBE-GGA.

Lattice parameters (Å, degrees): 7.9078 7.9078 11.4339 90.00 90.00 120.00
Atoms (fractional coordinates):
Cs 0.0000 0.0000 0.0000
Cs 0.3333 0.6667 0.7261
Cs 0.6667 0.3333 0.2739
In 0.3333 0.6667 0.1613
In 0.6667 0.3333 0.8387
Hg 0.0000 0.0000 0.5000
Br 0.0000 0.5000 0.0000
Br 0.1671 0.3342 0.2745
Br 0.1671 0.8329 0.2745
Br 0.3342 0.1671 0.7255
Br 0.5000 0.0000 0.0000
Br 0.5000 0.5000 0.0000
Br 0.6658 0.8329 0.2745
Br 0.8329 0.1671 0.7255
Br 0.8329 0.6658 0.7255

Properties
SG ... P-3m1 (164)
Energy ... -2.72 eV per atom
ΔE_f (raw) ... -1.157 eV per atom

(12)
Crystalline Ce2HoInC at its relaxed geometry. Source: the Alexandria database, functional PBE-GGA.

Lattice parameters (Å, degrees): 4.9585 4.9585 4.9645 90.00 90.00 90.00
Atoms (fractional coordinates):
Ce 0.0000 0.5000 0.0000
Ce 0.5000 0.0000 0.0000
Ho 0.0000 0.0000 0.5000
In 0.5000 0.5000 0.5000
C 0.0000 0.0000 0.0000

Properties
SG ... P4/mmm (123)
Energy ... -6.04 eV per atom
DFT formation energy ... -360 meV per atom

(13)
Crystalline Pr2NdTlO at its relaxed geometry. Source: the Alexandria database, functional PBE-GGA.

Lattice parameters (Å, degrees): 5.0374 5.0374 4.9868 90.00 90.00 90.00
Atoms (fractional coordinates):
Pr 0.0000 0.5000 0.0000
Pr 0.5000 0.0000 0.0000
Nd 0.0000 0.0000 0.5000
Tl 0.5000 0.5000 0.5000
O 0.0000 0.0000 0.0000

Properties
SG ... P4/mmm (123)
Energy ... -5.67 eV per atom
ΔE_f (raw) ... -1.337 eV per atom